Compound: YTa2Cl
Source: Alexandria via LeMat-Bulk
Functional: PBE
Structure: relaxed

Geometry as POSCAR:
```
YTa2Cl
1.0
3.8556 0.0000 0.0000
0.0000 3.8556 0.0000
0.0000 0.0000 23.7247
Y Ta Cl
4 8 4
Direct
0.0000 0.0000 0.0000 Y
0.0000 0.5000 0.2500 Y
0.5000 0.0000 0.7500 Y
0.5000 0.5000 0.5000 Y
0.2426 0.7500 0.1250 Ta
0.2500 0.2426 0.8750 Ta
0.2500 0.2574 0.3750 Ta
0.2574 0.7500 0.6250 Ta
0.7426 0.2500 0.6250 Ta
0.7500 0.7426 0.3750 Ta
0.7500 0.7574 0.8750 Ta
0.7574 0.2500 0.1250 Ta
0.0000 0.0000 0.5000 Cl
0.0000 0.5000 0.7500 Cl
0.5000 0.0000 0.2500 Cl
0.5000 0.5000 0.0000 Cl
```

Formation energy without anion corrections ... 0.286 eV/atom